The following is a DFT calculation (PBE-GGA) of a geometry-optimized CdGePdAu structure.

Summary:
Uncorrected energy (eV per atom): -3.659
Volume (Å³ per cell): 71.6
DFT formation energy (eV/f.u.): -0.63

abc: 4.6607 4.6607 4.6607
angles: 60.00 60.00 60.00
Last column: nearest neighbours and their distance in Å.
Fractional coordinates of all 4 atoms:
Au  0.5000  0.5000  0.5000  4 Ge 2.85, 4 Cd 2.85
Pd  0.0000  0.0000  0.0000  4 Ge 2.85, 4 Cd 2.85
Cd  0.7500  0.7500  0.7500  4 Au 2.85, 4 Pd 2.85
Ge  0.2500  0.2500  0.2500  4 Pd 2.85, 4 Au 2.85

The following is a DFT calculation (PBE-GGA) of a geometry-optimized Pm2CdGe3Au4 structure.

Summary:
Uncorrected energy (eV per atom): -4.261
Volume (Å³ per cell): 214.9
DFT formation energy (eV/f.u.): -5.23

abc: 4.3864 4.3864 11.1718
angles: 90.00 90.00 90.00
Last column: nearest neighbours and their distance in Å.
Fractional coordinates of all 10 atoms:
Cd  0.5000  0.5000  0.5000  4 Au 2.73
Pm  0.0000  0.5000  0.7712  4 Ge 3.28, 8 Au 3.37-3.40
Pm  0.5000  0.0000  0.2288  4 Ge 3.28, 8 Au 3.37-3.40
Ge  0.0000  0.5000  0.1331  5 Au 2.47-2.65
Ge  0.0000  0.0000  0.5000  4 Au 2.73
Ge  0.5000  0.0000  0.8669  5 Au 2.47-2.65
Au  0.5000  0.5000  0.0000  4 Ge 2.65
Au  0.0000  0.0000  0.0000  4 Ge 2.65
Au  0.0000  0.5000  0.3543  3 Ge 2.47-2.73, 2 Cd 2.73
Au  0.5000  0.0000  0.6457  3 Ge 2.47-2.73, 2 Cd 2.73

The following is a DFT calculation (PBE-GGA) of a geometry-optimized Pr2CdGe3Au4 structure.

Summary:
Uncorrected energy (eV per atom): -4.289
Volume (Å³ per cell): 218.3
DFT formation energy (eV/f.u.): -5.46

abc: 4.4235 4.4235 11.1547
angles: 90.00 90.00 90.00
Last column: nearest neighbours and their distance in Å.
Fractional coordinates of all 10 atoms:
Ge  0.5000  0.0000  0.8681  5 Au 2.49-2.66
Ge  0.0000  0.0000  0.5000  4 Au 2.74
Ge  0.0000  0.5000  0.1319  5 Au 2.49-2.66
Au  0.5000  0.0000  0.6451  3 Ge 2.49-2.74, 2 Cd 2.74
Au  0.5000  0.5000  0.0000  4 Ge 2.66
Au  0.0000  0.0000  0.0000  4 Ge 2.66
Au  0.0000  0.5000  0.3549  3 Ge 2.49-2.74, 2 Cd 2.74
Cd  0.5000  0.5000  0.5000  4 Au 2.74
Pr  0.0000  0.5000  0.7686  4 Ge 3.32, 8 Au 3.40-3.42
Pr  0.5000  0.0000  0.2314  4 Ge 3.32, 8 Au 3.40-3.42

The following is a DFT calculation (PBE-GGA) of a geometry-optimized Pr2CdGe4Au3 structure.

Summary:
Uncorrected energy (eV per atom): -4.382
Volume (Å³ per cell): 216.4
DFT formation energy (eV/f.u.): -5.04

abc: 4.3943 4.3943 11.2047
angles: 90.00 90.00 90.00
Last column: nearest neighbours and their distance in Å.
Fractional coordinates of all 10 atoms:
Pr  0.0000  0.5000  0.7491  8 Ge 3.33-3.57, 6 Au 3.37-3.55, 2 Cd 3.55
Pr  0.5000  0.0000  0.2509  8 Ge 3.33-3.57, 6 Au 3.37-3.55, 2 Cd 3.55
Au  0.0000  0.5000  0.1345  5 Ge 2.50-2.66
Au  0.0000  0.0000  0.5000  4 Ge 2.71
Au  0.5000  0.0000  0.8655  5 Ge 2.50-2.66
Ge  0.0000  0.0000  0.0000  4 Au 2.66
Ge  0.5000  0.5000  0.0000  4 Au 2.66
Ge  0.0000  0.5000  0.3579  3 Au 2.50-2.71, 2 Cd 2.71
Ge  0.5000  0.0000  0.6421  3 Au 2.50-2.71, 2 Cd 2.71
Cd  0.5000  0.5000  0.5000  4 Ge 2.71

The following is a DFT calculation (PBE-GGA) of a geometry-optimized CdReGe2Au structure.

Summary:
Uncorrected energy (eV per atom): -4.665
Volume (Å³ per cell): 120.3
DFT formation energy (eV/f.u.): 2.55

abc: 4.7688 5.2918 4.7688
angles: 90.00 90.00 90.00
Last column: nearest neighbours and their distance in Å.
Fractional coordinates of all 5 atoms:
Au  0.0000  0.5000  0.0000  2 Re 2.65
Cd  0.5000  0.5000  0.5000  4 Au 3.37, 8 Ge 3.56
Re  0.0000  0.0000  0.0000  4 Ge 2.38, 2 Au 2.65
Ge  0.5000  0.0000  0.0000  2 Re 2.38
Ge  0.0000  0.0000  0.5000  2 Re 2.38

The following is a DFT calculation (PBE-GGA) of a geometry-optimized CdGe2Sb2Au7 structure.

Summary:
Uncorrected energy (eV per atom): -3.470
Volume (Å³ per cell): 268.3
Uncorrected formation energy (meV per atom): -25

abc: 4.1171 4.1171 16.1191
angles: 82.33 82.33 90.00
Last column: nearest neighbours and their distance in Å.
Fractional coordinates of all 12 atoms:
Ge  0.6266  0.6266  0.7567  5 Au 2.52-2.61
Ge  0.3734  0.3734  0.2433  5 Au 2.52-2.61
Sb  0.7866  0.7866  0.4241  5 Au 2.74-2.93
Sb  0.2134  0.2134  0.5759  5 Au 2.74-2.93
Au  0.9259  0.4257  0.1425  2 Ge 2.60-2.61, 4 Au 2.91
Au  0.0741  0.5743  0.8575  2 Ge 2.60-2.61, 4 Au 2.91
Au  0.7020  0.7020  0.5973  1 Ge 2.52, 1 Sb 2.74
Au  0.5000  0.5000  0.0000  4 Cd 2.91, 8 Au 3.05
Au  0.4257  0.9259  0.1425  2 Ge 2.60-2.61, 4 Au 2.91
Au  0.2980  0.2980  0.4027  1 Ge 2.52, 1 Sb 2.74
Au  0.5743  0.0741  0.8575  2 Ge 2.60-2.61, 4 Au 2.91
Cd  0.0000  0.0000  0.0000  12 Au 2.91-3.05

The following is a DFT calculation (PBE-GGA) of a geometry-optimized Cd2GeSbAu structure.

Summary:
Uncorrected energy (eV per atom): -2.453
Volume (Å³ per cell): 137.9
Uncorrected formation energy (meV per atom): 317

abc: 5.2966 4.9162 5.2966
angles: 90.00 90.00 90.00
Last column: nearest neighbours and their distance in Å.
Fractional coordinates of all 5 atoms:
Cd  0.0000  0.0000  0.5000  2 Au 2.65
Cd  0.5000  0.0000  0.0000  2 Au 2.65
Sb  0.5000  0.5000  0.5000  8 Cd 3.61, 4 Ge 3.75
Au  0.0000  0.0000  0.0000  2 Ge 2.46, 4 Cd 2.65
Ge  0.0000  0.5000  0.0000  2 Au 2.46

The following is a DFT calculation (PBE-GGA) of a geometry-optimized CdGe2AuSe6 structure.

Summary:
Uncorrected energy (eV per atom): -3.626
Volume (Å³ per cell): 562.7
Uncorrected formation energy (meV per atom): -193

abc: 6.7421 9.6665 9.6665
angles: 93.83 72.28 72.28
Last column: nearest neighbours and their distance in Å.
Fractional coordinates of all 20 atoms:
Se  0.6298  0.1206  0.5730  1 Ge 2.44, 1 Au 2.47, 1 Cd 2.70
Se  0.4487  0.5772  0.7047  2 Ge 2.40-2.41
Se  0.5513  0.4228  0.2953  2 Ge 2.40-2.41
Se  0.8936  0.0011  0.1634  1 Ge 2.39
Se  0.1064  0.9989  0.8366  1 Ge 2.39
Se  0.1298  0.5730  0.1206  1 Ge 2.44, 1 Au 2.47, 1 Cd 2.70
Se  0.3936  0.1634  0.0011  1 Ge 2.39
Se  0.8702  0.4270  0.8794  1 Ge 2.44, 1 Au 2.47, 1 Cd 2.70
Se  0.0513  0.2953  0.4228  2 Ge 2.40-2.41
Se  0.6064  0.8366  0.9989  1 Ge 2.39
Se  0.9487  0.7047  0.5772  2 Ge 2.40-2.41
Se  0.3702  0.8794  0.4270  1 Ge 2.44, 1 Au 2.47, 1 Cd 2.70
Ge  0.7092  0.6497  0.7898  4 Se 2.39-2.44
Ge  0.2092  0.7898  0.6497  4 Se 2.39-2.44
Ge  0.7908  0.2102  0.3503  4 Se 2.39-2.44
Ge  0.2908  0.3503  0.2102  4 Se 2.39-2.44
Au  0.2500  0.2885  0.7115  2 Se 2.47
Au  0.7500  0.7115  0.2885  2 Se 2.47
Cd  0.2500  0.7992  0.2008  4 Se 2.70-2.74
Cd  0.7500  0.2008  0.7992  4 Se 2.70-2.74

- Among the records above, which one has the highest uncorrected energy?
  Cd2GeSbAu

- Which value of uncorrected energy does entry 8 give?
  -3.626 eV per atom

- The lowest volume belongs to which entry?
  CdGePdAu

Please write out number 4 again, unchanged.
The following is a DFT calculation (PBE-GGA) of a geometry-optimized Pr2CdGe4Au3 structure.

Summary:
Uncorrected energy (eV per atom): -4.382
Volume (Å³ per cell): 216.4
DFT formation energy (eV/f.u.): -5.04

abc: 4.3943 4.3943 11.2047
angles: 90.00 90.00 90.00
Last column: nearest neighbours and their distance in Å.
Fractional coordinates of all 10 atoms:
Pr  0.0000  0.5000  0.7491  8 Ge 3.33-3.57, 6 Au 3.37-3.55, 2 Cd 3.55
Pr  0.5000  0.0000  0.2509  8 Ge 3.33-3.57, 6 Au 3.37-3.55, 2 Cd 3.55
Au  0.0000  0.5000  0.1345  5 Ge 2.50-2.66
Au  0.0000  0.0000  0.5000  4 Ge 2.71
Au  0.5000  0.0000  0.8655  5 Ge 2.50-2.66
Ge  0.0000  0.0000  0.0000  4 Au 2.66
Ge  0.5000  0.5000  0.0000  4 Au 2.66
Ge  0.0000  0.5000  0.3579  3 Au 2.50-2.71, 2 Cd 2.71
Ge  0.5000  0.0000  0.6421  3 Au 2.50-2.71, 2 Cd 2.71
Cd  0.5000  0.5000  0.5000  4 Ge 2.71